1.
## TaTi2Tl (PBE-GGA)

Data for crystalline TaTi2Tl at its relaxed geometry.

a = 9.576 Å, b = 9.576 Å, c = 9.576 Å
α = 18.57°, β = 18.57°, γ = 18.57°
Element x y z (fractional)
Ta (0.000, 0.000, 0.000)
Ti (0.254, 0.254, 0.254)
Ti (0.746, 0.746, 0.746)
Tl (0.500, 0.500, 0.500)

energy of formation	0.1500	eV per atom
excess energy over the best structure of this formula in the dataset	150	meV per atom
space-group type	No. 166



2.
## Ac6InPt4 (PBE-GGA)

Data for crystalline Ac6InPt4 at its relaxed geometry.

a = 7.744 Å, b = 7.744 Å, c = 22.618 Å
α = 90.00°, β = 90.00°, γ = 147.00°
Element x y z (fractional)
Ac (0.000, 0.000, 0.000)
Ac (0.000, 0.000, 0.500)
Ac (0.164, 0.836, 0.750)
Ac (0.270, 0.730, 0.083)
Ac (0.270, 0.730, 0.417)
Ac (0.461, 0.539, 0.656)
Ac (0.461, 0.539, 0.844)
Ac (0.539, 0.461, 0.156)
Ac (0.539, 0.461, 0.344)
Ac (0.730, 0.270, 0.583)
Ac (0.730, 0.270, 0.917)
Ac (0.836, 0.164, 0.250)
In (0.159, 0.841, 0.250)
In (0.841, 0.159, 0.750)
Pt (0.094, 0.906, 0.624)
Pt (0.094, 0.906, 0.876)
Pt (0.363, 0.637, 0.541)
Pt (0.363, 0.637, 0.959)
Pt (0.637, 0.363, 0.041)
Pt (0.637, 0.363, 0.459)
Pt (0.906, 0.094, 0.124)
Pt (0.906, 0.094, 0.376)

energy of formation	-0.9504	eV per atom
space-group type	No. 63



3.
## OsWS2N (PBE-GGA)

Data for crystalline OsWS2N at its relaxed geometry.

a = 4.771 Å, b = 4.771 Å, c = 3.764 Å
α = 90.00°, β = 90.00°, γ = 90.00°
Element x y z (fractional)
Os (0.000, 0.000, 0.000)
W (0.500, 0.500, 0.500)
S (0.000, 0.500, 0.500)
S (0.500, 0.000, 0.500)
N (0.500, 0.500, 0.000)

E_form (uncorrected)	108.7	kJ per mole of atoms
excess energy over the best structure of this formula in the dataset	43	meV per atom
space-group type	No. 123



| no. | DOS at the Fermi energy (states/eV/f.u.) | calculated volume (Å³/f.u.) |
| --- | --- | --- |
| 1 | 4.3 | 78 |
| 2 | 6.4 | 369 |
| 3 | 5.0 | 86 |